# 1
## Sc2ZnFePd (PBE-GGA)

Data for Sc2ZnFePd after structural relaxation.

Results
Crystal system: tetragonal
Fermi-level density of states in states/eV per cell: 7.5
Formation energy from the elements in meV per atom: 594
Uncorrected energy in eV per cell: -24.625

a b c (Å): 4.914 4.914 4.460
angles (deg): 90.00 90.00 90.00
Atoms (fractional coordinates):
Sc: 0.000 0.500 0.000
Sc: 0.500 0.000 0.000
Zn: 0.000 0.000 0.000
Fe: 0.500 0.500 0.500
Pd: 0.000 0.000 0.500

# 2
## FePd2Se2 (PBE-GGA)

Data for FePd2Se2 after structural relaxation.

Results
Formation energy (no corrections) in meV per atom: 27
Crystal system: tetragonal
Fermi-level density of states in states/eV per cell: 10.1
Uncorrected energy in eV per cell: -51.361

a b c (Å): 6.711 6.711 3.793
angles (deg): 90.00 90.00 90.00
Atoms (fractional coordinates):
Fe: 0.000 0.000 0.000
Fe: 0.500 0.500 0.000
Pd: 0.150 0.350 0.500
Pd: 0.350 0.850 0.500
Pd: 0.650 0.150 0.500
Pd: 0.850 0.650 0.500
Se: 0.168 0.668 0.000
Se: 0.332 0.168 0.000
Se: 0.668 0.832 0.000
Se: 0.832 0.332 0.000

# 3
## FePd2Se6 (PBE-GGA)

Data for FePd2Se6 after structural relaxation.

Results
Formation energy (no corrections) in meV per atom: -231
Crystal system: monoclinic
Fermi-level density of states in states/eV per cell: 5.6
Uncorrected energy in eV per cell: -41.838

a b c (Å): 5.853 5.853 10.866
angles (deg): 115.97 115.97 37.39
Atoms (fractional coordinates):
Fe: 0.000 0.000 0.000
Pd: 0.336 0.336 0.671
Pd: 0.664 0.664 0.329
Se: 0.109 0.109 0.453
Se: 0.217 0.217 0.203
Se: 0.442 0.442 0.107
Se: 0.558 0.558 0.893
Se: 0.783 0.783 0.797
Se: 0.891 0.891 0.547

# 4
## FePdSe2 (PBE-GGA)

Data for FePdSe2 after structural relaxation.

Results
Formation energy (no corrections) in meV per atom: -90
Crystal system: tetragonal
Fermi-level density of states in states/eV per cell: 6.7
Energy above the lowest structure with this stoichiometry in eV per atom: 0.028
Uncorrected energy in eV per cell: -41.969

a b c (Å): 6.612 6.612 6.612
angles (deg): 130.21 130.21 73.07
Atoms (fractional coordinates):
Fe: 0.000 0.000 0.000
Fe: 0.750 0.250 0.500
Pd: 0.250 0.750 0.500
Pd: 0.500 0.500 0.000
Se: 0.087 0.625 0.962
Se: 0.375 0.337 0.462
Se: 0.663 0.125 0.038
Se: 0.875 0.913 0.538

# 5
## Fe3PdSe (PBE-GGA)

Data for Fe3PdSe after structural relaxation.

Results
Formation energy (no corrections) in meV per atom: 671
Crystal system: cubic
Fermi-level density of states in states/eV per cell: 14.8
Energy above the lowest structure with this stoichiometry in eV per atom: 0.000
Uncorrected energy in eV per cell: -30.713

a b c (Å): 4.371 4.371 4.371
angles (deg): 90.00 90.00 90.00
Atoms (fractional coordinates):
Fe: 0.000 0.000 0.500
Fe: 0.000 0.500 0.000
Fe: 0.500 0.000 0.000
Pd: 0.500 0.500 0.500
Se: 0.000 0.000 0.000

# 6
## FePdSe2 (PBE-GGA)

Data for FePdSe2 after structural relaxation.

Results
Formation energy (no corrections) in meV per atom: 251
Crystal system: cubic
Fermi-level density of states in states/eV per cell: 3.9
Energy above the lowest structure with this stoichiometry in eV per atom: 0.369
Uncorrected energy in eV per cell: -19.619

a b c (Å): 4.436 4.436 4.436
angles (deg): 60.00 60.00 60.00
Atoms (fractional coordinates):
Fe: 0.000 0.000 0.000
Pd: 0.500 0.500 0.500
Se: 0.250 0.250 0.250
Se: 0.750 0.750 0.750